{
  "formula": "ScBe5Au7",
  "functional": "GGA-PBE",
  "state": "relaxed",
  "sg": "Imm2, No. 44",
  "e_form_ev_per_atom": -0.27,
  "dos_ef_per_ev_fu": 5.0,
  "crystal_system": "orthorhombic",
  "total_energy_ev_per_atom": -3.953,
  "lattice": [[-2.502, 4.314, 4.411], [2.502, -4.314, 4.411], [2.502, 4.314, -4.411]],
  "species": ["Sc", "Be", "Be", "Be", "Be", "Be", "Au", "Au", "Au", "Au", "Au", "Au", "Au"],
  "frac_coords": [[0.000, 0.000, 0.000], [0.487, 0.487, 0.501], [0.487, 0.986, 0.000], [0.756, 0.256, 0.500], [0.986, 0.487, 0.000], [0.986, 0.986, 0.499], [0.147, 0.463, 0.685], [0.220, 0.720, 0.500], [0.341, 0.341, 0.000], [0.351, 0.016, 0.335], [0.678, 0.678, 0.000], [0.682, 0.016, 0.665], [0.778, 0.463, 0.315]]
}